Record 1
Sm5DyTm12: relaxed, PBE.

Cell lengths 10.5764, 10.5764, 6.1128 Å; angles 106.64, 106.64, 59.92 degrees
Last column: nearest neighbours and their distance in Å.
Atoms (fractional coordinates):
Sm (0.0000, 0.0000, 0.0000)  10 Tm 3.52-3.54, 2 Sm 3.54
Sm (0.1667, 0.1667, 0.5004)  10 Tm 3.51-3.54, 2 Sm 3.54
Sm (0.3337, 0.3337, 0.0005)  10 Tm 3.51-3.54, 1 Dy 3.53, 1 Sm 3.54
Sm (0.6663, 0.6663, 0.9995)  10 Tm 3.51-3.54, 1 Dy 3.53, 1 Sm 3.54
Sm (0.8333, 0.8333, 0.4996)  10 Tm 3.51-3.54, 2 Sm 3.54
Dy (0.5000, 0.5000, 0.5000)  10 Tm 3.50-3.53, 2 Sm 3.53
Tm (0.0014, 0.6653, 0.9996)  5 Sm 3.51-3.54, 7 Tm 3.51-3.55
Tm (0.1665, 0.5011, 0.5004)  7 Tm 3.51-3.54, 4 Sm 3.51-3.54, 1 Dy 3.52
Tm (0.1685, 0.8315, 0.5000)  1 Dy 3.50, 7 Tm 3.51-3.56, 4 Sm 3.53-3.54
Tm (0.3329, 0.6671, 0.0000)  7 Tm 3.51-3.53, 3 Sm 3.52, 2 Dy 3.53
Tm (0.3347, 0.9986, 0.0004)  5 Sm 3.51-3.54, 7 Tm 3.51-3.55
Tm (0.4989, 0.8335, 0.4996)  7 Tm 3.51-3.54, 4 Sm 3.51-3.54, 1 Dy 3.52
Tm (0.5011, 0.1665, 0.5004)  7 Tm 3.51-3.54, 4 Sm 3.51-3.54, 1 Dy 3.52
Tm (0.6653, 0.0014, 0.9996)  5 Sm 3.51-3.54, 7 Tm 3.51-3.55
Tm (0.6671, 0.3329, 0.0000)  7 Tm 3.51-3.53, 3 Sm 3.52, 2 Dy 3.53
Tm (0.8315, 0.1685, 0.5000)  1 Dy 3.50, 7 Tm 3.51-3.56, 4 Sm 3.53-3.54
Tm (0.8335, 0.4989, 0.4996)  7 Tm 3.51-3.54, 4 Sm 3.51-3.54, 1 Dy 3.52
Tm (0.9986, 0.3347, 0.0004)  5 Sm 3.51-3.54, 7 Tm 3.51-3.55

Values from the calculation:
**Calculated total energy**: -4.524 eV per atom
**Magnetic moment**: 0.0 μB/f.u.
**Energy relative to the elements**: 23 meV/atom
**DOS(E_F)**: 22.84 states/eV/cell

=====

Record 2
Ga3NiP: relaxed, PBE.

Cell lengths 4.5431, 4.5431, 4.5431 Å; angles 90.00, 90.00, 90.00 degrees
Last column: nearest neighbours and their distance in Å.
Atoms (fractional coordinates):
Ga (0.0000, 0.0000, 0.5000)  2 Ni 2.27
Ga (0.0000, 0.5000, 0.0000)  2 Ni 2.27
Ga (0.5000, 0.0000, 0.0000)  2 Ni 2.27
Ni (0.0000, 0.0000, 0.0000)  6 Ga 2.27
P (0.5000, 0.5000, 0.5000)  12 Ga 3.21

Values from the calculation:
**Calculated total energy**: -3.868 eV per atom
**Magnetic moment**: 0.0 μB/f.u.
**Energy relative to the elements**: 186 meV/atom
**DOS(E_F)**: 3.52 states/eV/cell

=====

Record 3
Ac3BiPb: relaxed, PBE.

Cell lengths 9.1887, 9.1887, 9.6050 Å; angles 90.01, 90.01, 88.38 degrees
Last column: nearest neighbours and their distance in Å.
Atoms (fractional coordinates):
Ac (0.0077, 0.8098, 0.5841)  3 Bi 3.50-3.81, 2 Pb 3.50-3.52, 1 Ac 3.85
Ac (0.0709, 0.4292, 0.8071)  2 Bi 3.35-3.36, 3 Pb 3.42-3.51
Ac (0.1902, 0.9923, 0.9159)  3 Bi 3.50-3.81, 2 Pb 3.50-3.52, 1 Ac 3.85
Ac (0.3079, 0.5039, 0.4158)  3 Bi 3.51-3.77, 2 Pb 3.51-3.53, 1 Ac 3.88
Ac (0.4292, 0.0709, 0.3071)  2 Bi 3.35-3.36, 3 Pb 3.42-3.51
Ac (0.4961, 0.6921, 0.0842)  3 Bi 3.51-3.77, 2 Pb 3.51-3.53, 1 Ac 3.88
Ac (0.5039, 0.3079, 0.9158)  3 Bi 3.51-3.77, 2 Pb 3.51-3.53, 1 Ac 3.88
Ac (0.5708, 0.9291, 0.6929)  2 Bi 3.35-3.36, 3 Pb 3.42-3.51
Ac (0.6921, 0.4961, 0.5842)  3 Bi 3.51-3.77, 2 Pb 3.51-3.53, 1 Ac 3.88
Ac (0.8098, 0.0077, 0.0841)  3 Bi 3.50-3.81, 2 Pb 3.50-3.52, 1 Ac 3.85
Ac (0.9291, 0.5708, 0.1929)  2 Bi 3.35-3.36, 3 Pb 3.42-3.51
Ac (0.9923, 0.1902, 0.4159)  3 Bi 3.50-3.81, 2 Pb 3.50-3.52, 1 Ac 3.85
Bi (0.1544, 0.8456, 0.2500)  4 Ac 3.35-3.50
Bi (0.3490, 0.6510, 0.7500)  4 Ac 3.36-3.51
Bi (0.6510, 0.3490, 0.2500)  4 Ac 3.36-3.51
Bi (0.8456, 0.1544, 0.7500)  4 Ac 3.35-3.50
Pb (0.1898, 0.3052, 0.1238)  7 Ac 3.42-3.53
Pb (0.3052, 0.1898, 0.6238)  7 Ac 3.42-3.53
Pb (0.6948, 0.8102, 0.3762)  7 Ac 3.42-3.53
Pb (0.8102, 0.6948, 0.8762)  7 Ac 3.42-3.53

Values from the calculation:
**Calculated total energy**: -4.542 eV per atom
**Magnetic moment**: 0.0 μB/f.u.
**Energy relative to the elements**: -560 meV/atom
**DOS(E_F)**: 17.70 states/eV/cell

=====

Please write out number 2 again, unchanged.
Ga3NiP: relaxed, PBE.

Cell lengths 4.5431, 4.5431, 4.5431 Å; angles 90.00, 90.00, 90.00 degrees
Last column: nearest neighbours and their distance in Å.
Atoms (fractional coordinates):
Ga (0.0000, 0.0000, 0.5000)  2 Ni 2.27
Ga (0.0000, 0.5000, 0.0000)  2 Ni 2.27
Ga (0.5000, 0.0000, 0.0000)  2 Ni 2.27
Ni (0.0000, 0.0000, 0.0000)  6 Ga 2.27
P (0.5000, 0.5000, 0.5000)  12 Ga 3.21

Values from the calculation:
**Calculated total energy**: -3.868 eV per atom
**Magnetic moment**: 0.0 μB/f.u.
**Energy relative to the elements**: 186 meV/atom
**DOS(E_F)**: 3.52 states/eV/cell